[1]
Here is a relaxed structure of Te2POs from Alexandria. Energies are from PBE-GGA.

Summary:
For the calculated volume, the calculation gives 22.56 Å³ per atom. The calculation puts the density at 8767 kg/m³. Its formation energy from raw total energies is 413.2 meV per atom. For the polymorph energy (0 for the lowest one), the calculation gives 316 meV/atom.

Unit cell a=6.4424 b=6.4424 c=6.4424 alpha=151.96 beta=133.79 gamma=54.93
Last column: nearest neighbours and their distance in Å.
Element x y z (fractional)
Os (0.5157, 0.5157, 0.0000)  2 P 2.32
Te (0.0100, 0.0100, 0.0000)  4 Os 2.97, 2 P 3.10, 2 Te 3.12
Te (0.3081, 0.8081, 0.5000)  2 Os 2.84, 2 Te 3.12
P (0.6662, 0.1662, 0.5000)  2 Os 2.32

***

[2]
Here is a relaxed structure of Zr2InHAu from Alexandria. Energies are from PBE-GGA.

Summary:
For the calculated volume, the calculation gives 17.03 Å³ per atom. The calculation puts the density at 9658 kg/m³. For the polymorph energy (0 for the lowest one), the calculation gives 0 meV/atom.

Unit cell a=4.3964 b=4.3964 c=4.4053 alpha=90.00 beta=90.00 gamma=90.00
Last column: nearest neighbours and their distance in Å.
Element x y z (fractional)
Zr (0.5000, 0.0000, 0.0000)  2 H 2.20
Zr (0.0000, 0.5000, 0.0000)  2 H 2.20
In (0.5000, 0.5000, 0.5000)  4 Au 3.11, 8 Zr 3.11
H (0.0000, 0.0000, 0.0000)  4 Zr 2.20, 2 Au 2.20
Au (0.0000, 0.0000, 0.5000)  2 H 2.20

***

[3]
Here is a relaxed structure of CdIrBr2 from Alexandria. Energies are from PBE-GGA.

Summary:
For the calculated volume, the calculation gives 33.04 Å³ per atom. The calculation puts the density at 5835 kg/m³. Its formation energy from raw total energies is -41.4 meV per atom. For the polymorph energy (0 for the lowest one), the calculation gives 0 meV/atom.

Unit cell a=3.7271 b=7.0789 c=7.0837 alpha=45.01 beta=90.00 gamma=90.00
Last column: nearest neighbours and their distance in Å.
Element x y z (fractional)
Br (0.0000, 0.8774, 0.8782)  2 Ir 2.50
Br (0.0000, 0.6226, 0.6218)  2 Ir 2.50
Cd (0.5000, 0.2500, 0.2500)  2 Ir 2.71
Ir (0.5000, 0.7500, 0.7500)  4 Br 2.50, 2 Cd 2.71

***

[4]
Here is a relaxed structure of La12In3Ga from Alexandria. Energies are from PBE-GGA.

Summary:
For the formation energy, the calculation gives -0.29 eV per atom. For the calculated volume, the calculation gives 31.95 Å³ per atom. The calculation puts the density at 6760 kg/m³.

Unit cell a=5.0429 b=5.0429 c=20.1000 alpha=90.00 beta=90.00 gamma=90.00
Last column: nearest neighbours and their distance in Å.
Element x y z (fractional)
La (0.5000, 0.0000, 0.3734)  8 La 3.57-3.60, 4 In 3.58
La (0.5000, 0.0000, 0.8804)  8 La 3.48-3.58, 2 Ga 3.48, 2 In 3.59
La (0.5000, 0.5000, 0.7542)  4 In 3.57, 8 La 3.58-3.60
La (0.5000, 0.0000, 0.6266)  8 La 3.57-3.60, 4 In 3.58
La (0.0000, 0.5000, 0.8804)  8 La 3.48-3.58, 2 Ga 3.48, 2 In 3.59
La (0.0000, 0.5000, 0.1196)  8 La 3.48-3.58, 2 Ga 3.48, 2 In 3.59
La (0.5000, 0.0000, 0.1196)  8 La 3.48-3.58, 2 Ga 3.48, 2 In 3.59
La (0.5000, 0.5000, 0.0000)  8 La 3.48, 4 Ga 3.57
La (0.5000, 0.5000, 0.2458)  4 In 3.57, 8 La 3.58-3.60
La (0.0000, 0.5000, 0.3734)  8 La 3.57-3.60, 4 In 3.58
La (0.0000, 0.5000, 0.6266)  8 La 3.57-3.60, 4 In 3.58
La (0.5000, 0.5000, 0.5000)  4 In 3.57, 8 La 3.58
Ga (0.0000, 0.0000, 0.0000)  12 La 3.48-3.57
In (0.0000, 0.0000, 0.7531)  12 La 3.57-3.59
In (0.0000, 0.0000, 0.2469)  12 La 3.57-3.59
In (0.0000, 0.0000, 0.5000)  12 La 3.57-3.58

***

[5]
Here is a relaxed structure of PrRuO6 from Alexandria. Energies are from PBE-GGA.

Summary:
For the calculated volume, the calculation gives 12.09 Å³ per atom. The calculation puts the density at 5804 kg/m³. Its formation energy from raw total energies is -1156.3 meV per atom.

Unit cell a=4.6292 b=4.6292 c=4.6292 alpha=97.11 beta=97.11 gamma=97.11
Last column: nearest neighbours and their distance in Å.
Element x y z (fractional)
O (0.2143, 0.2143, 0.5903)  1 Ru 1.87
O (0.7857, 0.4097, 0.7857)  1 Ru 1.87
O (0.5903, 0.2143, 0.2143)  1 Ru 1.87
O (0.2143, 0.5903, 0.2143)  1 Ru 1.87
O (0.7857, 0.7857, 0.4097)  1 Ru 1.87
O (0.4097, 0.7857, 0.7857)  1 Ru 1.87
Ru (0.5000, 0.5000, 0.5000)  6 O 1.87
Pr (0.0000, 0.0000, 0.0000)  6 O 2.50

***

[6]
Here is a relaxed structure of CsAs3Rh3 from Alexandria. Energies are from PBE-GGA.

Summary:
For the formation energy, the calculation gives -0.42 eV per atom. For the calculated volume, the calculation gives 25.05 Å³ per atom. The calculation puts the density at 6310 kg/m³.

Unit cell a=6.7676 b=6.7718 c=9.6643 alpha=69.48 beta=69.48 gamma=60.01
Last column: nearest neighbours and their distance in Å.
Element x y z (fractional)
Cs (0.3298, 0.3295, 0.0108)  6 As 3.66-3.76, 3 Cs 3.91-3.92, 3 Rh 3.93
Cs (0.6702, 0.6705, 0.9892)  6 As 3.66-3.76, 3 Cs 3.91-3.92, 3 Rh 3.93
As (0.3820, 0.7917, 0.6809)  4 Rh 2.40-2.48
As (0.2083, 0.8547, 0.3192)  4 Rh 2.40-2.47
As (0.7917, 0.1453, 0.6808)  4 Rh 2.40-2.47
As (0.8547, 0.6178, 0.3192)  4 Rh 2.40-2.48
As (0.1453, 0.3822, 0.6808)  4 Rh 2.40-2.48
As (0.6180, 0.2083, 0.3191)  4 Rh 2.40-2.48
Rh (0.7829, 0.5318, 0.5986)  4 As 2.40-2.48
Rh (0.0864, 0.7829, 0.5986)  4 As 2.40-2.47
Rh (0.9136, 0.2171, 0.4014)  4 As 2.40-2.47
Rh (0.4681, 0.9135, 0.4015)  4 As 2.40-2.48
Rh (0.2171, 0.4682, 0.4014)  4 As 2.40-2.48
Rh (0.5319, 0.0865, 0.5985)  4 As 2.40-2.48